Ta3PbAu: relaxed, PBE-GGA.

For the formation energy, the calculation gives 2.3703 eV/atom.

Cell: 5.073 5.073 5.073 Å, 90.00 90.00 90.00°
Fractional positions:
1 Ta 0.000 0.000 0.500
2 Ta 0.000 0.500 0.000
3 Ta 0.500 0.000 0.000
4 Pb 0.000 0.000 0.000
5 Au 0.500 0.500 0.500